Arrangement one

Compound: ZnAsBr2O
Source: Alexandria via LeMat-Bulk
Functional: PBE-GGA
Structure: relaxed

Calculated values
Crystal system ... tetragonal
Space group ... P4/mmm

The structure in extended XYZ format:
```
5
Lattice="5.9326 0.0000 0.0000 0.0000 5.9326 0.0000 0.0000 0.0000 3.6576" Properties=species:S:1:pos:R:3 pbc="T T T"
Zn 0.0000 0.0000 0.0000
As 2.9663 2.9663 0.0000
Br 0.0000 2.9663 1.8288
Br 2.9663 0.0000 1.8288
O 2.9663 2.9663 1.8288
```



Arrangement two

Compound: ZnAsBr2O
Source: Alexandria via LeMat-Bulk
Functional: PBE-GGA
Structure: relaxed

Calculated values
Crystal system ... tetragonal
Space group ... P4/mmm

The structure in extended XYZ format:
```
5
Lattice="4.9116 0.0000 0.0000 0.0000 4.9116 0.0000 0.0000 0.0000 5.1340" Properties=species:S:1:pos:R:3 pbc="T T T"
Zn 0.0000 0.0000 0.0000
As 0.0000 0.0000 2.5670
Br 0.0000 2.4558 0.0000
Br 2.4558 0.0000 0.0000
O 2.4558 2.4558 2.5670
```



Stability ranking, top entry: arrangement one; the second entry is 543 meV/atom less favorable.